VASP calculation (GGA-PBE) on Li5Pd4 after structural relaxation.

Calculated values
Energy of formation from the pure elements, eV/atom: -0.374
Theoretical density, g/cm3: 5.95
Energy, eV per cell: -33.71
D(E_F), states/eV per cell: 2.65

Structure (CIF):
```
data_Li5Pd4
_symmetry_space_group_name_H-M 'P 1'
_symmetry_Int_Tables_number 1
_symmetry_space_group_name_Hall 'P 1'
_cell_length_a 4.3006
_cell_length_b 4.3200
_cell_length_c 7.9791
_cell_angle_alpha 90.44
_cell_angle_beta 90.00
_cell_angle_gamma 119.85
loop_
_atom_site_label
_atom_site_type_symbol
_atom_site_fract_x
_atom_site_fract_y
_atom_site_fract_z
Li1 Li 0.9999 0.9997 0.1610
Li2 Li 0.3327 0.6654 0.2664
Li3 Li 0.0000 0.0000 0.5000
Li4 Li 0.6673 0.3346 0.7336
Li5 Li 0.0001 0.0003 0.8390
Pd1 Pd 0.6661 0.3321 0.4041
Pd2 Pd 0.3339 0.6679 0.5959
Pd3 Pd 0.3334 0.6667 0.9331
Pd4 Pd 0.6666 0.3333 0.0669
```